Entry 1:
# CeGdPaAl

An optimized crystal structure of CeGdPaAl (PBE, the Alexandria database).

* space group: No. 216
* size of the total moment: 8.801 Bohr magnetons per cell
* formation enthalpy at 0 K: 129 meV per atom

a = 5.233 Å, b = 5.233 Å, c = 5.233 Å
α = 60.00°, β = 60.00°, γ = 60.00°
Sites, in units of the cell vectors:
1 Ce 0.000 0.000 0.000
2 Gd 0.500 0.500 0.500
3 Pa 0.750 0.750 0.750
4 Al 0.250 0.250 0.250



Entry 2:
# CeGdAlPb

An optimized crystal structure of CeGdAlPb (PBE, the Alexandria database).

* space group: No. 216
* size of the total moment: 8.375 Bohr magnetons per cell
* formation enthalpy at 0 K: -312 meV per atom

a = 5.368 Å, b = 5.368 Å, c = 5.368 Å
α = 60.00°, β = 60.00°, γ = 60.00°
Sites, in units of the cell vectors:
1 Ce 0.000 0.000 0.000
2 Gd 0.500 0.500 0.500
3 Al 0.250 0.250 0.250
4 Pb 0.750 0.750 0.750



Entry 3:
# CeGdAlPd

An optimized crystal structure of CeGdAlPd (PBE, the Alexandria database).

* space group: No. 216
* size of the total moment: 7.712 Bohr magnetons per cell
* formation enthalpy at 0 K: -437 meV per atom

a = 5.134 Å, b = 5.134 Å, c = 5.134 Å
α = 60.00°, β = 60.00°, γ = 60.00°
Sites, in units of the cell vectors:
1 Ce 0.000 0.000 0.000
2 Gd 0.500 0.500 0.500
3 Al 0.750 0.750 0.750
4 Pd 0.250 0.250 0.250



Entry 4:
# CePrGdAl

An optimized crystal structure of CePrGdAl (PBE, the Alexandria database).

* space group: No. 216
* size of the total moment: 7.608 Bohr magnetons per cell
* formation enthalpy at 0 K: 0 meV per atom

a = 5.381 Å, b = 5.381 Å, c = 5.381 Å
α = 60.00°, β = 60.00°, γ = 60.00°
Sites, in units of the cell vectors:
1 Ce 0.000 0.000 0.000
2 Pr 0.750 0.750 0.750
3 Gd 0.250 0.250 0.250
4 Al 0.500 0.500 0.500



Entry 5:
# CeGdPuAl

An optimized crystal structure of CeGdPuAl (PBE, the Alexandria database).

* space group: No. 216
* size of the total moment: 15.629 Bohr magnetons per cell
* formation enthalpy at 0 K: -63 meV per atom

a = 5.277 Å, b = 5.277 Å, c = 5.277 Å
α = 60.00°, β = 60.00°, γ = 60.00°
Sites, in units of the cell vectors:
1 Ce 0.000 0.000 0.000
2 Gd 0.500 0.500 0.500
3 Pu 0.750 0.750 0.750
4 Al 0.250 0.250 0.250



Entry 6:
# CeGdAlRu

An optimized crystal structure of CeGdAlRu (PBE, the Alexandria database).

* space group: No. 216
* size of the total moment: 6.722 Bohr magnetons per cell
* formation enthalpy at 0 K: -256 meV per atom

a = 5.013 Å, b = 5.013 Å, c = 5.013 Å
α = 60.00°, β = 60.00°, γ = 60.00°
Sites, in units of the cell vectors:
1 Ce 0.000 0.000 0.000
2 Gd 0.500 0.500 0.500
3 Al 0.750 0.750 0.750
4 Ru 0.250 0.250 0.250



Entry 7:
# CeGdScAl

An optimized crystal structure of CeGdScAl (PBE, the Alexandria database).

* space group: No. 216
* size of the total moment: 8.641 Bohr magnetons per cell
* formation enthalpy at 0 K: -77 meV per atom

a = 5.261 Å, b = 5.261 Å, c = 5.261 Å
α = 60.00°, β = 60.00°, γ = 60.00°
Sites, in units of the cell vectors:
1 Ce 0.000 0.000 0.000
2 Gd 0.500 0.500 0.500
3 Sc 0.750 0.750 0.750
4 Al 0.250 0.250 0.250



Entry 8:
# CeGdAlSn

An optimized crystal structure of CeGdAlSn (PBE, the Alexandria database).

* space group: No. 216
* size of the total moment: 8.280 Bohr magnetons per cell
* formation enthalpy at 0 K: -425 meV per atom

a = 5.309 Å, b = 5.309 Å, c = 5.309 Å
α = 60.00°, β = 60.00°, γ = 60.00°
Sites, in units of the cell vectors:
1 Ce 0.000 0.000 0.000
2 Gd 0.500 0.500 0.500
3 Al 0.750 0.750 0.750
4 Sn 0.250 0.250 0.250



Entry 9:
# TbCeGdAl

An optimized crystal structure of TbCeGdAl (PBE, the Alexandria database).

* space group: No. 216
* size of the total moment: 8.536 Bohr magnetons per cell
* formation enthalpy at 0 K: -28 meV per atom

a = 5.367 Å, b = 5.367 Å, c = 5.367 Å
α = 60.00°, β = 60.00°, γ = 60.00°
Sites, in units of the cell vectors:
1 Tb 0.000 0.000 0.000
2 Ce 0.750 0.750 0.750
3 Gd 0.250 0.250 0.250
4 Al 0.500 0.500 0.500



Entry 10:
# CeGdAlTc

An optimized crystal structure of CeGdAlTc (PBE, the Alexandria database).

* space group: No. 216
* size of the total moment: 6.919 Bohr magnetons per cell
* formation enthalpy at 0 K: -113 meV per atom

a = 5.017 Å, b = 5.017 Å, c = 5.017 Å
α = 60.00°, β = 60.00°, γ = 60.00°
Sites, in units of the cell vectors:
1 Ce 0.000 0.000 0.000
2 Gd 0.500 0.500 0.500
3 Al 0.250 0.250 0.250
4 Tc 0.750 0.750 0.750



Entry 11:
# CeGdThAl

An optimized crystal structure of CeGdThAl (PBE, the Alexandria database).

* space group: No. 216
* size of the total moment: 8.338 Bohr magnetons per cell
* formation enthalpy at 0 K: 9 meV per atom

a = 5.330 Å, b = 5.330 Å, c = 5.330 Å
α = 60.00°, β = 60.00°, γ = 60.00°
Sites, in units of the cell vectors:
1 Ce 0.000 0.000 0.000
2 Gd 0.250 0.250 0.250
3 Th 0.750 0.750 0.750
4 Al 0.500 0.500 0.500



Entry 12:
# CeGdTiAl

An optimized crystal structure of CeGdTiAl (PBE, the Alexandria database).

* space group: No. 216
* size of the total moment: 3.905 Bohr magnetons per cell
* formation enthalpy at 0 K: -12 meV per atom

a = 5.174 Å, b = 5.174 Å, c = 5.174 Å
α = 60.00°, β = 60.00°, γ = 60.00°
Sites, in units of the cell vectors:
1 Ce 0.000 0.000 0.000
2 Gd 0.500 0.500 0.500
3 Ti 0.250 0.250 0.250
4 Al 0.750 0.750 0.750



Entry 13:
# CeGdAlTl

An optimized crystal structure of CeGdAlTl (PBE, the Alexandria database).

* space group: No. 216
* size of the total moment: 8.166 Bohr magnetons per cell
* formation enthalpy at 0 K: -272 meV per atom

a = 5.338 Å, b = 5.338 Å, c = 5.338 Å
α = 60.00°, β = 60.00°, γ = 60.00°
Sites, in units of the cell vectors:
1 Ce 0.000 0.000 0.000
2 Gd 0.500 0.500 0.500
3 Al 0.250 0.250 0.250
4 Tl 0.750 0.750 0.750



Entry 14:
# CeGdTmAl

An optimized crystal structure of CeGdTmAl (PBE, the Alexandria database).

* space group: No. 216
* size of the total moment: 8.517 Bohr magnetons per cell
* formation enthalpy at 0 K: -48 meV per atom

a = 5.339 Å, b = 5.339 Å, c = 5.339 Å
α = 60.00°, β = 60.00°, γ = 60.00°
Sites, in units of the cell vectors:
1 Ce 0.000 0.000 0.000
2 Gd 0.500 0.500 0.500
3 Tm 0.750 0.750 0.750
4 Al 0.250 0.250 0.250



Entry 15:
# CeGdAlZn

An optimized crystal structure of CeGdAlZn (PBE, the Alexandria database).

* space group: No. 216
* size of the total moment: 7.526 Bohr magnetons per cell
* formation enthalpy at 0 K: -295 meV per atom

a = 5.143 Å, b = 5.143 Å, c = 5.143 Å
α = 60.00°, β = 60.00°, γ = 60.00°
Sites, in units of the cell vectors:
1 Ce 0.000 0.000 0.000
2 Gd 0.500 0.500 0.500
3 Al 0.750 0.750 0.750
4 Zn 0.250 0.250 0.250



Entry 16:
# Ce3AlGe2

An optimized crystal structure of Ce3AlGe2 (PBE, the Alexandria database).

* space group: No. 63
* size of the total moment: 2.894 Bohr magnetons per cell
* formation enthalpy at 0 K: -396 meV per atom
* energy relative to the lowest polymorph listed for this composition: 1.033 eV/f.u.

a = 6.993 Å, b = 6.993 Å, c = 5.716 Å
α = 90.00°, β = 90.00°, γ = 98.25°
Sites, in units of the cell vectors:
1 Ce 0.074 0.926 0.750
2 Ce 0.078 0.603 0.250
3 Ce 0.397 0.922 0.250
4 Ce 0.603 0.078 0.750
5 Ce 0.922 0.397 0.750
6 Ce 0.926 0.074 0.250
7 Al 0.366 0.634 0.750
8 Al 0.634 0.366 0.250
9 Ge 0.286 0.286 0.000
10 Ge 0.286 0.286 0.500
11 Ge 0.714 0.714 0.000
12 Ge 0.714 0.714 0.500



Entry 17:
# Ce3AlGe3

An optimized crystal structure of Ce3AlGe3 (PBE, the Alexandria database).

* space group: No. 12
* size of the total moment: 5.179 Bohr magnetons per cell
* formation enthalpy at 0 K: -640 meV per atom
* energy relative to the lowest polymorph listed for this composition: 0.000 eV/f.u.

a = 5.992 Å, b = 5.992 Å, c = 14.208 Å
α = 107.01°, β = 107.01°, γ = 42.32°
Sites, in units of the cell vectors:
1 Ce 0.013 0.013 0.382
2 Ce 0.102 0.102 0.922
3 Ce 0.240 0.240 0.226
4 Ce 0.760 0.760 0.774
5 Ce 0.898 0.898 0.078
6 Ce 0.987 0.987 0.618
7 Al 0.271 0.271 0.611
8 Al 0.729 0.729 0.389
9 Ge 0.354 0.354 0.452
10 Ge 0.379 0.379 0.924
11 Ge 0.476 0.476 0.770
12 Ge 0.524 0.524 0.230
13 Ge 0.621 0.621 0.076
14 Ge 0.646 0.646 0.548



Entry 18:
# CeAl2Ge2

An optimized crystal structure of CeAl2Ge2 (PBE, the Alexandria database).

* space group: No. 139
* size of the total moment: 0.730 Bohr magnetons per cell
* formation enthalpy at 0 K: -303 meV per atom
* energy relative to the lowest polymorph listed for this composition: 0.519 eV/f.u.

a = 5.706 Å, b = 5.706 Å, c = 5.706 Å
α = 130.48°, β = 130.48°, γ = 72.64°
Sites, in units of the cell vectors:
1 Ce 0.000 0.000 0.000
2 Al 0.361 0.361 0.000
3 Al 0.639 0.639 0.000
4 Ge 0.250 0.750 0.500
5 Ge 0.750 0.250 0.500



Entry 19:
# Ce3AlGe3

An optimized crystal structure of Ce3AlGe3 (PBE, the Alexandria database).

* space group: No. 176
* size of the total moment: 3.945 Bohr magnetons per cell
* formation enthalpy at 0 K: -498 meV per atom
* energy relative to the lowest polymorph listed for this composition: 0.995 eV/f.u.

a = 8.633 Å, b = 8.633 Å, c = 5.948 Å
α = 90.00°, β = 90.00°, γ = 120.00°
Sites, in units of the cell vectors:
1 Ce 0.081 0.390 0.250
2 Ce 0.309 0.919 0.250
3 Ce 0.390 0.309 0.750
4 Ce 0.610 0.691 0.250
5 Ce 0.691 0.081 0.750
6 Ce 0.919 0.610 0.750
7 Al 0.333 0.667 0.750
8 Al 0.667 0.333 0.250
9 Ge 0.068 0.355 0.750
10 Ge 0.287 0.932 0.750
11 Ge 0.355 0.287 0.250
12 Ge 0.645 0.713 0.750
13 Ge 0.713 0.068 0.250
14 Ge 0.932 0.645 0.250



Entry 20:
# Ce8Al2Ge

An optimized crystal structure of Ce8Al2Ge (PBE, the Alexandria database).

* space group: No. 12
* size of the total moment: 2.748 Bohr magnetons per cell
* formation enthalpy at 0 K: -174 meV per atom

a = 8.236 Å, b = 8.236 Å, c = 6.035 Å
α = 105.90°, β = 105.90°, γ = 45.65°
Sites, in units of the cell vectors:
1 Ce 0.031 0.031 0.309
2 Ce 0.060 0.586 0.405
3 Ce 0.400 0.400 0.965
4 Ce 0.414 0.940 0.595
5 Ce 0.586 0.060 0.405
6 Ce 0.600 0.600 0.035
7 Ce 0.940 0.414 0.595
8 Ce 0.969 0.969 0.691
9 Al 0.176 0.176 0.049
10 Al 0.824 0.824 0.951
11 Ge 0.500 0.500 0.500



Entry 21:
# CeAl2Ge

An optimized crystal structure of CeAl2Ge (PBE, the Alexandria database).

* space group: No. 166
* size of the total moment: 0.648 Bohr magnetons per cell
* formation enthalpy at 0 K: -7 meV per atom
* energy relative to the lowest polymorph listed for this composition: 1.720 eV/f.u.

a = 4.901 Å, b = 4.901 Å, c = 4.901 Å
α = 60.33°, β = 60.33°, γ = 60.33°
Sites, in units of the cell vectors:
1 Ce 0.000 0.000 0.000
2 Al 0.251 0.251 0.251
3 Al 0.749 0.749 0.749
4 Ge 0.500 0.500 0.500



Entry 22:
# Ce3Al2Ge6

An optimized crystal structure of Ce3Al2Ge6 (PBE, the Alexandria database).

* space group: No. 139
* size of the total moment: 1.077 Bohr magnetons per cell
* formation enthalpy at 0 K: -405 meV per atom

a = 13.966 Å, b = 13.966 Å, c = 13.966 Å
α = 162.38°, β = 162.38°, γ = 25.02°
Sites, in units of the cell vectors:
1 Ce 0.000 0.000 0.000
2 Ce 0.169 0.169 0.000
3 Ce 0.831 0.831 0.000
4 Al 0.364 0.364 0.000
5 Al 0.636 0.636 0.000
6 Ge 0.080 0.580 0.500
7 Ge 0.275 0.275 0.000
8 Ge 0.420 0.920 0.500
9 Ge 0.580 0.080 0.500
10 Ge 0.725 0.725 0.000
11 Ge 0.920 0.420 0.500



Entry 23:
# Ce5Al2Ge5

An optimized crystal structure of Ce5Al2Ge5 (PBE, the Alexandria database).

* space group: No. 12
* size of the total moment: 3.546 Bohr magnetons per cell
* formation enthalpy at 0 K: -626 meV per atom
* energy relative to the lowest polymorph listed for this composition: 0.000 eV/f.u.

a = 7.816 Å, b = 7.816 Å, c = 11.227 Å
α = 126.33°, β = 126.33°, γ = 31.05°
Sites, in units of the cell vectors:
1 Ce 0.000 0.000 0.000
2 Ce 0.314 0.314 0.408
3 Ce 0.372 0.372 0.195
4 Ce 0.628 0.628 0.805
5 Ce 0.686 0.686 0.592
6 Al 0.381 0.381 0.735
7 Al 0.619 0.619 0.265
8 Ge 0.000 0.000 0.500
9 Ge 0.065 0.065 0.325
10 Ge 0.306 0.306 0.880
11 Ge 0.694 0.694 0.120
12 Ge 0.935 0.935 0.675



Entry 24:
# Ce2AlGe

An optimized crystal structure of Ce2AlGe (PBE, the Alexandria database).

* space group: No. 166
* size of the total moment: 0.004 Bohr magnetons per cell
* formation enthalpy at 0 K: 28 meV per atom

a = 11.538 Å, b = 11.538 Å, c = 11.538 Å
α = 15.24°, β = 15.24°, γ = 15.24°
Sites, in units of the cell vectors:
1 Ce 0.091 0.091 0.091
2 Ce 0.909 0.909 0.909
3 Al 0.000 0.000 0.000
4 Ge 0.500 0.500 0.500



Entry 25:
# Ce2AlGe

An optimized crystal structure of Ce2AlGe (PBE, the Alexandria database).

* space group: No. 123
* size of the total moment: 0.252 Bohr magnetons per cell
* formation enthalpy at 0 K: -477 meV per atom

a = 4.589 Å, b = 4.589 Å, c = 4.318 Å
α = 90.00°, β = 90.00°, γ = 90.00°
Sites, in units of the cell vectors:
1 Ce 0.000 0.500 0.000
2 Ce 0.500 0.000 0.000
3 Al 0.000 0.000 0.500
4 Ge 0.500 0.500 0.500



Entry 26:
# Ce3Al2Ge3

An optimized crystal structure of Ce3Al2Ge3 (PBE, the Alexandria database).

* space group: No. 193
* size of the total moment: 3.745 Bohr magnetons per cell
* formation enthalpy at 0 K: -404 meV per atom
* energy relative to the lowest polymorph listed for this composition: 0.541 eV/f.u.

a = 8.680 Å, b = 8.680 Å, c = 6.037 Å
α = 90.00°, β = 90.00°, γ = 120.00°
Sites, in units of the cell vectors:
1 Ce 0.000 0.327 0.250
2 Ce 0.000 0.673 0.750
3 Ce 0.327 0.000 0.250
4 Ce 0.327 0.327 0.750
5 Ce 0.673 0.000 0.750
6 Ce 0.673 0.673 0.250
7 Al 0.333 0.667 0.000
8 Al 0.333 0.667 0.500
9 Al 0.667 0.333 0.000
10 Al 0.667 0.333 0.500
11 Ge 0.000 0.347 0.750
12 Ge 0.000 0.653 0.250
13 Ge 0.347 0.000 0.750
14 Ge 0.347 0.347 0.250
15 Ge 0.653 0.000 0.250
16 Ge 0.653 0.653 0.750